1.
VASP calculation (PBE-GGA) on Tl2PdBr5 after structural relaxation.

```
16
Lattice="5.6262 0.0000 0.0000 -2.8131 8.4303 0.0000 0.0000 0.0000 12.9612" Properties=species:S:1:pos:R:3 pbc="T T T"
Tl 2.8131 5.9926 5.1359
Tl 2.8131 5.9926 1.3447
Tl 0.0000 2.4376 7.8253
Tl 0.0000 2.4376 11.6165
Pd 2.8131 5.6901 9.7209
Pd 0.0000 2.7401 3.2403
Br 2.8131 7.4634 11.4557
Br 2.8131 7.4634 7.9860
Br 0.0000 4.4649 5.0644
Br 0.0000 4.4649 1.4162
Br 2.8131 2.8927 3.2403
Br 0.0000 5.5376 9.7209
Br 2.8131 3.9654 7.8968
Br 2.8131 3.9654 11.5450
Br 0.0000 0.9669 1.5054
Br 0.0000 0.9669 4.9752
```

## Properties
- Electronic total energy: -2.8180 eV per atom
- SG: Cmcm (63)


2.
VASP calculation (PBE-GGA) on Tl2PdBr8 after structural relaxation.

```
22
Lattice="8.0681 0.0000 3.5609 3.6344 9.5904 2.6859 -0.0112 -0.4456 10.9461" Properties=species:S:1:pos:R:3 pbc="T T T"
Tl 9.8394 7.9044 15.8317
Tl 4.0653 3.3320 7.2669
Tl 7.6260 5.8128 9.9260
Tl 1.8519 1.2404 1.3611
Pd 2.7427 7.0814 4.7596
Pd 8.9486 2.0634 12.4332
Br 5.4080 6.9960 9.4073
Br 4.5683 8.8803 5.6002
Br 9.1914 8.9989 7.4017
Br 1.9926 1.8128 6.4617
Br 2.4999 0.1460 9.7912
Br 7.9283 2.7597 3.9333
Br 9.6988 7.3321 10.7311
Br 2.6507 3.9809 9.4496
Br 3.7630 6.3852 13.2595
Br 7.9614 6.7213 14.5426
Br 7.0973 3.8623 11.6509
Br 4.5941 5.2825 5.5419
Br 3.7300 2.4235 2.6503
Br 9.0406 5.1640 7.7433
Br 6.2834 2.1489 7.7855
Br 7.1230 0.2645 11.5927
```

## Properties
- Energy above the lowest structure with this stoichiometry: 0.043 eV per atom
- SG: C2/c (15)


3.
VASP calculation (PBE-GGA) on Tl2Pd2Br after structural relaxation.

```
10
Lattice="8.5278 0.0000 0.0000 0.0000 8.5278 0.0000 0.0000 0.0000 3.1147" Properties=species:S:1:pos:R:3 pbc="T T T"
Tl 2.7266 6.9905 0.0000
Tl 6.9905 5.8011 0.0000
Tl 5.8011 1.5373 0.0000
Tl 1.5373 2.7266 0.0000
Br 0.0000 0.0000 0.0000
Br 4.2639 4.2639 0.0000
Pd 0.9782 5.2421 1.5573
Pd 5.2421 7.5495 1.5573
Pd 7.5495 3.2856 1.5573
Pd 3.2856 0.9782 1.5573
```

## Properties
- Energy above the lowest structure with this stoichiometry: 0.092 eV per atom
- SG: P4/mbm (127)


4.
VASP calculation (PBE-GGA) on Tl3PdBr after structural relaxation.

```
5
Lattice="-4.5581 -1.6966 2.3478 -1.5495 -2.2703 -4.6488 2.4474 -4.5972 1.4293" Properties=species:S:1:pos:R:3 pbc="T T T"
Tl -0.7748 -1.1352 -2.3244
Tl 1.2237 -2.2986 0.7147
Tl -2.2790 -0.8483 1.1739
Br -1.8301 -4.2821 -0.4358
Pd 0.0000 0.0000 0.0000
```

## Properties
- Energy above the lowest structure with this stoichiometry: 0.000 eV per atom
- SG: Pm-3m (221)


5.
VASP calculation (PBE-GGA) on Tl2PdBr5 after structural relaxation.

```
8
Lattice="7.7180 0.0000 -0.0001 0.0002 7.7178 0.0043 -3.8588 -3.8575 4.6191" Properties=species:S:1:pos:R:3 pbc="T T T"
Tl 0.0003 3.8589 2.3208
Tl 3.8591 0.0086 2.3187
Pd 3.8594 3.8596 4.5654
Br 5.9622 1.7555 0.1554
Br 1.7559 1.7554 0.1553
Br 5.9621 5.9616 0.1627
Br 1.7562 5.9616 0.1627
Br 3.8592 3.8549 1.9760
```

## Properties
- Electronic total energy: -2.8175 eV per atom
- SG: Cm (8)


6.
VASP calculation (PBE-GGA) on Tl2Pd2Br after structural relaxation.

```
10
Lattice="-6.5449 0.8701 -4.1710 3.6575 -2.7744 -6.3178 -1.0200 -3.3825 0.8949" Properties=species:S:1:pos:R:3 pbc="T T T"
Tl 0.8315 -3.3998 -4.4814
Tl -1.8466 -3.4156 -7.5936
Tl -4.7389 -1.8870 -5.1125
Tl -2.0608 -1.8712 -2.0003
Br 0.0000 0.0000 0.0000
Br -1.4437 -0.9522 -5.2444
Pd 0.7583 -2.0932 -7.0473
Pd -3.3972 -0.9883 -7.6075
Pd -3.6457 0.1888 -3.4415
Pd 0.5098 -0.9161 -2.8814
```

## Properties
- Energy above the lowest structure with this stoichiometry: 0.000 eV per atom
- SG: P4/mbm (127)


7.
VASP calculation (PBE-GGA) on TlPd4Br7 after structural relaxation.

```
24
Lattice="-2.7790 -2.8925 -3.5204 -1.5813 -4.6633 5.0798 -15.1139 9.5625 4.0737" Properties=species:S:1:pos:R:3 pbc="T T T"
Tl -11.6076 -2.3071 3.6473
Tl -1.2322 -1.4279 -1.2199
Pd -16.0867 3.8505 4.5862
Pd -7.2961 -4.2124 1.7326
Pd -5.5965 0.4226 0.6280
Pd -10.1755 3.7378 4.0579
Pd -6.7768 1.5875 3.1418
Pd -4.3715 -3.5616 1.4285
Pd -15.4880 0.9706 3.9406
Pd -12.5185 4.8021 2.4937
Br -5.3950 -5.8413 1.7651
Br -7.3638 2.1908 0.7650
Br -14.4801 5.5786 3.8764
Br -13.2020 0.5317 2.9689
Br -8.8467 -2.2239 1.7950
Br -3.7215 -1.2283 0.9766
Br -14.2487 2.5320 5.7418
Br -13.7460 3.2529 0.7074
Br -7.1420 -0.9255 -1.0726
Br -5.7389 -2.8521 3.4481
Br -2.8900 -4.3830 -0.4337
Br -9.1977 1.4310 3.8139
Br -17.5557 1.8527 5.0428
Br -10.3170 4.0593 1.5610
```

## Properties
- Electronic total energy: -3.1884 eV per atom
- SG: Pmn2_1 (31)


8.
VASP calculation (PBE-GGA) on Tl2PdBr after structural relaxation.

```
4
Lattice="-2.4116 -4.5215 -1.5055 -5.1645 -0.7732 1.1209 -3.6255 0.0848 -3.9211" Properties=species:S:1:pos:R:3 pbc="T T T"
Tl -2.8004 -1.3025 -1.0764
Tl -8.4013 -3.9074 -3.2292
Br 0.0000 0.0000 0.0000
Pd -5.6008 -2.6049 -2.1528
```

## Properties
- Energy above the lowest structure with this stoichiometry: 0.134 eV per atom
- SG: Fm-3m (225)


9.
VASP calculation (PBE-GGA) on Tl2PdBr2 after structural relaxation.

```
10
Lattice="7.3322 0.0000 0.0000 0.0000 7.3322 0.0000 0.0000 0.0000 5.4094" Properties=species:S:1:pos:R:3 pbc="T T T"
Tl 1.2231 4.8892 2.7047
Tl 4.8892 6.1091 2.7047
Tl 6.1091 2.4430 2.7047
Tl 2.4430 1.2231 2.7047
Br 2.3526 6.0187 0.0000
Br 6.0187 4.9795 0.0000
Br 4.9795 1.3135 0.0000
Br 1.3135 2.3526 0.0000
Pd 0.0000 0.0000 0.0000
Pd 3.6661 3.6661 0.0000
```

## Properties
- Energy above the lowest structure with this stoichiometry: 0.094 eV per atom
- SG: P4/mbm (127)


10.
VASP calculation (PBE-GGA) on TlPd2Br after structural relaxation.

```
4
Lattice="0.0000 3.4036 3.4036 3.4036 0.0000 3.4036 3.4036 3.4036 0.0000" Properties=species:S:1:pos:R:3 pbc="T T T"
Tl 3.4036 3.4036 3.4036
Br 0.0000 0.0000 0.0000
Pd 1.7018 1.7018 1.7018
Pd 5.1054 5.1054 5.1054
```

## Properties
- Electronic total energy: -3.5557 eV per atom
- SG: Fm-3m (225)


11.
VASP calculation (PBE-GGA) on Tl3PdBr7 after structural relaxation.

```
22
Lattice="-7.3760 4.0550 1.3010 -2.0133 -7.9717 -2.2224 0.2130 -2.9800 10.4962" Properties=species:S:1:pos:R:3 pbc="T T T"
Tl -4.5487 -3.4319 4.7913
Tl -4.7342 -1.9748 -0.4646
Tl -6.1761 -6.2656 1.1897
Tl -2.9999 -0.6346 8.3972
Tl -8.2656 -2.8276 7.8683
Tl -0.9109 -4.0656 1.6943
Pd -9.2826 -5.4066 4.3267
Pd -0.0002 -0.0001 0.0000
Br -6.9487 -6.3169 4.2604
Br -2.3252 0.7844 0.5095
Br -8.3255 -3.1235 4.7159
Br -0.7533 -5.1374 9.6637
Br -0.8494 -3.7742 4.8551
Br -8.4245 -1.7566 -0.0916
Br -2.2280 -0.5784 5.3182
Br -6.8507 -7.6843 9.0679
Br -3.8407 -4.4991 1.6372
Br -5.3356 -2.3976 7.9375
Br -5.4289 -0.9373 2.6807
Br -3.7474 -5.9594 6.8940
Br -7.1932 3.0195 3.8399
Br -1.9831 -9.9162 5.7348
```

## Properties
- Electronic total energy: -2.7236 eV per atom
- SG: C222_1 (20)


12.
VASP calculation (PBE-GGA) on Tl3Pd2Br9 after structural relaxation.

```
28
Lattice="-10.0534 0.3514 -0.7635 -3.3068 -8.8235 3.6041 -3.3630 1.9579 9.3078" Properties=species:S:1:pos:R:3 pbc="T T T"
Tl -6.9259 -6.3024 3.1958
Tl -7.5065 -6.8205 8.5624
Tl -11.9618 -4.3674 3.7448
Tl -4.7614 -2.1467 8.4037
Tl -9.2167 0.3064 3.5861
Tl -9.7973 -0.2117 8.9526
Pd -2.9243 -1.1391 2.1244
Pd -11.2859 -4.3962 8.1986
Pd -13.7989 -5.3750 10.0241
Pd -5.4373 -2.1180 3.9499
Br -10.3642 -7.3847 3.2632
Br -5.2266 -7.6259 5.8882
Br -4.1714 -3.4391 2.0793
Br -10.2617 -5.8346 6.3612
Br -11.4094 -6.4264 9.8448
Br -13.6660 -5.1554 7.4200
Br -5.3550 -4.1936 5.4261
Br -7.7082 -2.7323 2.9703
Br -10.6977 -1.9246 1.4140
Br -6.0255 -4.5895 10.7344
Br -9.0149 -3.7818 9.1782
Br -5.3138 -0.0877 2.3036
Br -11.3682 -2.3205 6.7224
Br -3.0572 -1.3587 4.7284
Br -6.4615 -0.6795 5.7873
Br -12.5518 -3.0750 10.0692
Br -11.4966 1.1118 6.2602
Br -6.3590 0.8706 8.8853
```

## Properties
- Electronic total energy: -2.8061 eV per atom
- SG: R-3c (167)


13.
VASP calculation (PBE-GGA) on TlPdBr6 after structural relaxation.

```
8
Lattice="-6.1914 1.2730 -2.5570 -0.9762 -0.0516 -6.7482 -3.7260 -5.6180 -2.8613" Properties=species:S:1:pos:R:3 pbc="T T T"
Tl -5.4468 -2.1983 -6.0833
Pd 0.0000 0.0000 0.0000
Br -3.6170 -4.2446 -4.9827
Br -7.7564 -3.3101 -4.6069
Br -4.8603 -0.5501 -3.6986
Br -3.1372 -1.0865 -7.5596
Br -7.2766 -0.1520 -7.1839
Br -6.0333 -3.8465 -8.4679
```

## Properties
- Energy above the lowest structure with this stoichiometry: 0.005 eV per atom
- SG: R-3 (148)


14.
VASP calculation (PBE-GGA) on Tl2PdBr after structural relaxation.

```
8
Lattice="6.5666 0.0000 0.0000 0.0000 6.5666 0.0000 3.2833 3.2833 7.1068" Properties=species:S:1:pos:R:3 pbc="T T T"
Tl 5.3797 1.6416 1.7767
Tl 1.1868 4.9249 1.7767
Tl 4.9249 4.4701 5.3301
Tl 8.2082 8.6630 5.3301
Br 3.2833 3.2833 0.0000
Br 3.2833 6.5666 3.5534
Pd 0.0000 0.0000 0.0000
Pd 6.5666 3.2833 3.5534
```

## Properties
- Energy above the lowest structure with this stoichiometry: 0.000 eV per atom
- SG: I-42d (122)


15.
VASP calculation (PBE-GGA) on Tl3PdBr after structural relaxation.

```
5
Lattice="5.9887 0.0000 0.0000 0.0000 5.9887 0.0000 0.0000 0.0000 5.9887" Properties=species:S:1:pos:R:3 pbc="T T T"
Tl 0.0000 2.9943 0.0000
Tl 0.0000 0.0000 2.9943
Tl 2.9943 0.0000 0.0000
Br 0.0000 0.0000 0.0000
Pd 2.9943 2.9943 2.9943
```

## Properties
- Energy above the lowest structure with this stoichiometry: 0.770 eV per atom
- SG: Pm-3m (221)


16.
VASP calculation (PBE-GGA) on Tl5Pd2Br12 after structural relaxation.

```
19
Lattice="8.0988 0.0000 0.0000 -4.0494 8.0697 -1.1683 0.0000 1.2890 9.0235" Properties=species:S:1:pos:R:3 pbc="T T T"
Tl 0.0000 5.3505 5.9345
Tl 0.0000 4.7547 1.7750
Tl 0.0000 0.6445 4.5117
Tl 4.0494 4.6040 6.0801
Tl 4.0494 4.0083 1.9207
Pd 5.9952 0.0000 0.0000
Pd 2.1035 0.0000 0.0000
Br 4.0494 8.2995 0.4432
Br -2.0037 6.8575 8.2112
Br 2.0037 6.8575 8.2113
Br -2.1171 6.5606 3.6469
Br 2.1171 6.5606 3.6469
Br 4.0494 1.0428 7.2800
Br 0.0000 8.3160 0.5752
Br 6.1665 2.7982 4.2083
Br 1.9322 2.7982 4.2083
Br 6.0531 2.5013 -0.3561
Br 2.0456 2.5013 -0.3561
Br 0.0000 1.0593 7.4120
```

## Properties
- Electronic total energy: -2.7523 eV per atom
- SG: C2/m (12)


17.
VASP calculation (PBE-GGA) on TlPd3Br after structural relaxation.

```
5
Lattice="5.1315 0.0000 0.0000 0.0000 5.1315 0.0000 0.0000 0.0000 5.1315" Properties=species:S:1:pos:R:3 pbc="T T T"
Tl 0.0000 0.0000 0.0000
Br 2.5657 2.5657 2.5657
Pd 0.0000 2.5657 0.0000
Pd 0.0000 0.0000 2.5657
Pd 2.5657 0.0000 0.0000
```

## Properties
- Energy above the lowest structure with this stoichiometry: 0.391 eV per atom
- SG: Pm-3m (221)


18.
VASP calculation (PBE-GGA) on Tl4PdBr7 after structural relaxation.

```
12
Lattice="4.8155 0.0000 1.6017 1.9152 10.1983 2.2816 -0.2258 0.3420 8.7184" Properties=species:S:1:pos:R:3 pbc="T T T"
Tl 3.1581 2.4701 6.5847
Tl 3.3469 8.0703 6.0171
Tl 4.5243 7.0699 10.5170
Tl 1.9807 3.4704 2.0848
Pd 0.0000 0.0000 0.0000
Br 5.2255 9.0437 8.4088
Br 1.2795 1.4967 4.1930
Br 1.7445 7.8080 2.7949
Br 4.7605 2.7323 9.8069
Br 2.5839 5.7358 8.3110
Br 2.4078 0.0000 0.8009
Br 3.9211 4.8046 4.2908
```

## Properties
- Electronic total energy: -2.7660 eV per atom
- SG: C2/m (12)


19.
VASP calculation (PBE-GGA) on TlPd2Br after structural relaxation.

```
8
Lattice="-3.4178 -0.7807 3.0913 -1.7687 -3.3064 -2.7905 2.2539 -7.9091 4.0280" Properties=species:S:1:pos:R:3 pbc="T T T"
Tl 0.0000 0.0000 0.0000
Tl -1.8786 -5.3667 3.6349
Br -2.5932 -2.0436 0.1504
Br -1.0540 -6.6295 0.6940
Pd -1.6425 -2.8440 2.4535
Pd -1.1204 -4.1759 -0.2138
Pd -0.3328 -7.6108 3.0103
Pd -2.7695 -9.3617 3.4078
```

## Properties
- Electronic total energy: -3.5555 eV per atom
- SG: I-42d (122)


20.
VASP calculation (PBE-GGA) on VPdBr2 after structural relaxation.

```
4
Lattice="-1.3537 -4.5615 0.3685 1.2924 -2.5726 3.8062 -3.2631 -1.2661 3.2441" Properties=species:S:1:pos:R:3 pbc="T T T"
Pd -1.6622 -4.2001 3.7094
Br -0.8311 -2.1000 1.8547
Br -2.4933 -6.3001 5.5641
V 0.0000 0.0000 0.0000
```

## Properties
- Energy above the lowest structure with this stoichiometry: 0.270 eV per atom
- SG: Fm-3m (225)